1.
The following is a PBE-GGA calculation of an optimized crystal structure of KLi2C2, from Alexandria via LeMat-Bulk.

Magnetic moment ... 0.00 μB per atom
VASP energy ... -4.319 eV/atom
DFT formation energy ... 0.3558 eV/atom

Lattice parameters (Å, degrees): 6.772 6.772 3.725 90.00 90.00 90.00
Space group P4/mbm (No. 127)
One atom of each set of equivalent atoms:
K (0.000, 0.000, 0.000) x2
Li (0.119, 0.381, 0.500) x4
C (0.068, 0.568, 0.000) x4

***

2.
The following is a PBE-GGA calculation of an optimized crystal structure of SrBiSbI2, from Alexandria via LeMat-Bulk.

Magnetic moment ... 0.00 μB per atom
VASP energy ... -2.811 eV/atom
Energy relative to the elements, uncorrected ... -0.25 eV per atom
ΔE to the lowest computed polymorph ... 0 meV per atom

Lattice parameters (Å, degrees): 6.099 6.099 5.983 90.00 90.00 90.00
Space group P4/mmm (No. 123)
One atom of each set of equivalent atoms:
Sr (0.000, 0.000, 0.000) x1
Bi (0.500, 0.500, 0.500) x1
Sb (0.500, 0.500, 0.000) x1
I (0.000, 0.500, 0.500) x2

***

3.
The following is a PBE-GGA calculation of an optimized crystal structure of Na2AlGaAu6, from Alexandria via LeMat-Bulk.

Magnetic moment ... 0.00 μB per atom
VASP energy ... -3.002 eV/atom
DFT formation energy ... -0.0950 eV/atom

Lattice parameters (Å, degrees): 9.917 9.917 9.917 90.00 90.00 90.00
Space group Fm-3m (No. 225)
One atom of each set of equivalent atoms:
Na (0.250, 0.250, 0.250) x8
Al (0.000, 0.000, 0.000) x4
Ga (0.000, 0.000, 0.500) x4
Au (0.000, 0.000, 0.248) x24

***

4.
The following is a PBE-GGA calculation of an optimized crystal structure of Zr2Tl2Pt, from Alexandria via LeMat-Bulk.

Magnetic moment ... 0.00 μB per atom
VASP energy ... -5.666 eV/atom
DFT formation energy ... -0.0919 eV/atom
ΔE to the lowest computed polymorph ... 0 meV per atom

Lattice parameters (Å, degrees): 7.017 7.017 4.932 90.00 90.00 90.00
Space group P4/mbm (No. 127)
One atom of each set of equivalent atoms:
Zr (0.156, 0.344, 0.000) x4
Tl (0.162, 0.662, 0.500) x4
Pt (0.000, 0.000, 0.000) x2

***

5.
The following is a PBE-GGA calculation of an optimized crystal structure of Tb4Ho3Co4, from Alexandria via LeMat-Bulk.

Magnetic moment ... 0.00 μB per atom
VASP energy ... -5.596 eV/atom
DFT formation energy ... -0.0795 eV/atom

Lattice parameters (Å, degrees): 3.596 8.785 15.532 90.00 90.00 90.00
Space group Immm (No. 71)
One atom of each set of equivalent atoms:
Tb (0.000, 0.185, 0.165) x8
Ho (0.000, 0.000, 0.397) x4
Ho (0.000, 0.500, 0.500) x2
Co (0.000, 0.287, 0.000) x4
Co (0.000, 0.500, 0.248) x4

***

6.
The following is a PBE-GGA calculation of an optimized crystal structure of WBr2, from Alexandria via LeMat-Bulk.

Magnetic moment ... 0.00 μB per atom
VASP energy ... -4.847 eV/atom
Energy relative to the elements, uncorrected ... 0.59 eV per atom
ΔE to the lowest computed polymorph ... 1052 meV per atom

Lattice parameters (Å, degrees): 6.334 6.334 6.334 90.00 90.00 90.00
Space group Pa-3 (No. 205)
One atom of each set of equivalent atoms:
W (0.000, 0.000, 0.000) x4
Br (0.150, 0.650, 0.850) x8